Below is a geometry-optimized CoTc2Ir structure, with properties calculated at the PBE level.

POSCAR file:
```
CoTc2Ir
1.0
-0.575 -5.233 0.758
4.079 -3.373 -0.523
-2.287 4.154 2.408
Co Ir Tc
1 1 2
direct
0.498 0.498 0.000
0.275 0.775 0.500
0.011 0.011 0.000
0.716 0.216 0.500
```

Results
E_form = 0.1747 eV per atom
space-group type = Imm2 (44)
theoretical density = 13.4 Mg/m³
ΔE to the lowest computed polymorph = 323 meV/atom